# 1
# PBE MnW, relaxed
data_MnW
_chemical_formula_sum 'Mn6 W6'
_symmetry_space_group_name_H-M 'C 1 m 1'
_symmetry_Int_Tables_number 8
_cell_length_a 9.545
_cell_length_b 3.056
_cell_length_c 6.024
_cell_angle_alpha 90.00
_cell_angle_beta 108.19
_cell_angle_gamma 90.00
loop_
_symmetry_equiv_pos_as_xyz
'x,y,z'
'x,-y,z'
'x+1/2,y+1/2,z'
'x+1/2,-y+1/2,z'
loop_
_atom_site_label
_atom_site_fract_x
_atom_site_fract_y
_atom_site_fract_z
_atom_site_occupancy
Mn1 0.000 0.000 0.000 1
Mn2 0.003 0.000 0.506 1
Mn3 0.162 0.500 0.330 1
W1 0.163 0.500 0.837 1
W2 0.336 0.000 0.663 1
W3 0.345 0.000 0.179 1
# Energy of formation: 0.3 eV per formula unit


# 2
# PBE LiTcS2N, relaxed
data_LiTcS2N
_chemical_formula_sum 'Li1 Tc1 S2 N1'
_symmetry_space_group_name_H-M 'P 4/m m m'
_symmetry_Int_Tables_number 123
_symmetry_space_group_name_Hall '-P 4 2'
_cell_length_a 4.807
_cell_length_b 4.807
_cell_length_c 3.728
_cell_angle_alpha 90.00
_cell_angle_beta 90.00
_cell_angle_gamma 90.00
loop_
_atom_site_label
_atom_site_fract_x
_atom_site_fract_y
_atom_site_fract_z
_atom_site_occupancy
Li1 0.000 0.000 0.000 1
Tc1 0.500 0.500 0.500 1
S1 0.000 0.500 0.500 1
N1 0.500 0.500 0.000 1
# Formation energy without anion corrections: -0.2 eV per formula unit


What did we get for total energy? Answer: -131.081, -29.069 eV per cell, in the order shown.
What did we get for total magnetic moment? Answer: 7.67, 0.00 Bohr magnetons per cell, in the order shown.
What did we get for DOS(E_F)? Answer: 1.634, 2.173 states/eV/f.u., in the order shown.